Below is Nb4Cr2Si5 at its PBEsol-relaxed geometry, with properties calculated at the meta-GGA SCAN level.

Computed properties:
energy = -0.7513 Ha/atom
formation energy from raw total energies = -0.5027 eV/atom
density of states at the Fermi level = 0.710 states/eV per atom

```
data_Nb4Cr2Si5
_chemical_formula_sum 'Nb8 Cr4 Si10'
_cell_length_a 4.9066
_cell_length_b 7.8182
_cell_length_c 9.3056
_cell_angle_alpha 114.84
_cell_angle_beta 105.29
_cell_angle_gamma 90.00
_space_group_name_H-M_alt 'P 1'
_space_group_IT_number 1
loop_
_space_group_symop_operation_xyz
'x,y,z'
loop_
_atom_site_label
_atom_site_fract_x
_atom_site_fract_y
_atom_site_fract_z
Nb1 0.0635 0.3197 0.1271
Nb2 0.9365 0.6803 0.8729
Nb3 0.4365 0.1926 0.8729
Nb4 0.5635 0.8074 0.1271
Nb5 0.3567 0.7438 0.7133
Nb6 0.6433 0.2562 0.2867
Nb7 0.1433 0.0305 0.2867
Nb8 0.8567 0.9695 0.7133
Cr1 0.0565 0.3065 0.6129
Cr2 0.4435 0.6935 0.3871
Cr3 0.9435 0.6935 0.3871
Cr4 0.5565 0.3065 0.6129
Si1 0.7500 0.0000 0.0000
Si2 0.2500 0.0000 0.0000
Si3 0.4292 0.5117 0.8583
Si4 0.5708 0.4883 0.1417
Si5 0.0708 0.6534 0.1417
Si6 0.9292 0.3466 0.8583
Si7 0.2181 0.4245 0.4362
Si8 0.7819 0.5755 0.5638
Si9 0.7181 0.0117 0.4362
Si10 0.2819 0.9883 0.5638
```



Below is Nb3CrSi at its PBEsol-relaxed geometry, with properties calculated at the meta-GGA SCAN level.

Computed properties:
energy = -0.9109 Ha/atom
formation energy from raw total energies = 0.7698 eV/atom
density of states at the Fermi level = 1.001 states/eV per atom

```
data_Nb3CrSi
_chemical_formula_sum 'Nb3 Cr1 Si1'
_cell_length_a 4.6248
_cell_length_b 4.6248
_cell_length_c 4.6248
_cell_angle_alpha 90.00
_cell_angle_beta 90.00
_cell_angle_gamma 90.00
_space_group_name_H-M_alt 'P 1'
_space_group_IT_number 1
loop_
_space_group_symop_operation_xyz
'x,y,z'
loop_
_atom_site_label
_atom_site_fract_x
_atom_site_fract_y
_atom_site_fract_z
Cr1 0.5000 0.5000 0.5000
Nb1 0.0000 0.5000 0.0000
Nb2 0.0000 0.0000 0.5000
Nb3 0.5000 0.0000 0.0000
Si1 0.0000 0.0000 0.0000
```



Below is NbZn2CrSi at its PBEsol-relaxed geometry, with properties calculated at the meta-GGA SCAN level.

Computed properties:
energy = -0.6243 Ha/atom
formation energy from raw total energies = 0.7228 eV/atom
density of states at the Fermi level = 0.633 states/eV per atom

```
data_NbZn2CrSi
_chemical_formula_sum 'Nb1 Zn2 Cr1 Si1'
_cell_length_a 4.4108
_cell_length_b 4.4108
_cell_length_c 4.7456
_cell_angle_alpha 90.00
_cell_angle_beta 90.00
_cell_angle_gamma 90.00
_space_group_name_H-M_alt 'P 1'
_space_group_IT_number 1
loop_
_space_group_symop_operation_xyz
'x,y,z'
loop_
_atom_site_label
_atom_site_fract_x
_atom_site_fract_y
_atom_site_fract_z
Cr1 0.5000 0.5000 0.5000
Nb1 0.0000 0.0000 0.5000
Si1 0.0000 0.0000 0.0000
Zn1 0.0000 0.5000 0.0000
Zn2 0.5000 0.0000 0.0000
```



Below is Nb3CrSn at its PBEsol-relaxed geometry, with properties calculated at the meta-GGA SCAN level.

Computed properties:
energy = -1.0658 Ha/atom
energy of formation = 168 kJ per mole of atoms
density of states at the Fermi level = 1.070 states/eV per atom

```
data_Nb3CrSn
_chemical_formula_sum 'Nb3 Cr1 Sn1'
_cell_length_a 4.9829
_cell_length_b 4.9829
_cell_length_c 4.9829
_cell_angle_alpha 90.00
_cell_angle_beta 90.00
_cell_angle_gamma 90.00
_space_group_name_H-M_alt 'P 1'
_space_group_IT_number 1
loop_
_space_group_symop_operation_xyz
'x,y,z'
loop_
_atom_site_label
_atom_site_fract_x
_atom_site_fract_y
_atom_site_fract_z
Cr1 0.5000 0.5000 0.5000
Nb1 0.0000 0.5000 0.0000
Nb2 0.0000 0.0000 0.5000
Nb3 0.5000 0.0000 0.0000
Sn1 0.0000 0.0000 0.0000
```



Below is SrNb2Cr at its PBEsol-relaxed geometry, with properties calculated at the meta-GGA SCAN level.

Computed properties:
energy = -0.9416 Ha/atom
energy of formation = 107 kJ per mole of atoms
density of states at the Fermi level = 1.358 states/eV per atom

```
data_SrNb2Cr
_chemical_formula_sum 'Sr1 Nb2 Cr1'
_cell_length_a 4.6899
_cell_length_b 4.6899
_cell_length_c 4.6899
_cell_angle_alpha 60.00
_cell_angle_beta 60.00
_cell_angle_gamma 60.00
_space_group_name_H-M_alt 'P 1'
_space_group_IT_number 1
loop_
_space_group_symop_operation_xyz
'x,y,z'
loop_
_atom_site_label
_atom_site_fract_x
_atom_site_fract_y
_atom_site_fract_z
Sr1 0.5000 0.5000 0.5000
Nb1 0.2500 0.2500 0.2500
Nb2 0.7500 0.7500 0.7500
Cr1 0.0000 0.0000 0.0000
```



Below is TiNb2CrTc at its PBEsol-relaxed geometry, with properties calculated at the meta-GGA SCAN level.

Computed properties:
energy = -0.9606 Ha/atom
energy of formation = 97 kJ per mole of atoms
density of states at the Fermi level = 1.150 states/eV per atom

```
data_TiNb2CrTc
_chemical_formula_sum 'Ti1 Nb2 Cr1 Tc1'
_cell_length_a 4.3120
_cell_length_b 4.7758
_cell_length_c 4.7758
_cell_angle_alpha 90.00
_cell_angle_beta 90.00
_cell_angle_gamma 90.00
_space_group_name_H-M_alt 'P 1'
_space_group_IT_number 1
loop_
_space_group_symop_operation_xyz
'x,y,z'
loop_
_atom_site_label
_atom_site_fract_x
_atom_site_fract_y
_atom_site_fract_z
Cr1 0.5000 0.0000 0.0000
Nb1 0.0000 0.0000 0.5000
Nb2 0.0000 0.5000 0.0000
Tc1 0.0000 0.0000 0.0000
Ti1 0.5000 0.5000 0.5000
```



Below is NbCrTe2 at its PBEsol-relaxed geometry, with properties calculated at the meta-GGA SCAN level.

Computed properties:
energy = -1.1413 Ha/atom
formation energy from raw total energies = 0.4491 eV/atom
density of states at the Fermi level = 0.765 states/eV per atom

```
data_NbCrTe2
_chemical_formula_sum 'Nb1 Cr1 Te2'
_cell_length_a 3.2161
_cell_length_b 3.2161
_cell_length_c 9.2519
_cell_angle_alpha 79.99
_cell_angle_beta 79.99
_cell_angle_gamma 60.00
_space_group_name_H-M_alt 'P 1'
_space_group_IT_number 1
loop_
_space_group_symop_operation_xyz
'x,y,z'
loop_
_atom_site_label
_atom_site_fract_x
_atom_site_fract_y
_atom_site_fract_z
Cr1 0.5000 0.5000 0.5000
Nb1 0.0000 0.0000 0.0000
Te1 0.8989 0.8989 0.3033
Te2 0.1011 0.1011 0.6967
```



Below is Ti2NbCrTe at its PBEsol-relaxed geometry, with properties calculated at the meta-GGA SCAN level.

Computed properties:
energy = -0.8727 Ha/atom
formation energy from raw total energies = 0.4168 eV/atom
density of states at the Fermi level = 0.713 states/eV per atom

```
data_Ti2NbCrTe
_chemical_formula_sum 'Ti2 Nb1 Cr1 Te1'
_cell_length_a 4.5720
_cell_length_b 4.5012
_cell_length_c 4.5012
_cell_angle_alpha 90.00
_cell_angle_beta 90.00
_cell_angle_gamma 90.00
_space_group_name_H-M_alt 'P 1'
_space_group_IT_number 1
loop_
_space_group_symop_operation_xyz
'x,y,z'
loop_
_atom_site_label
_atom_site_fract_x
_atom_site_fract_y
_atom_site_fract_z
Cr1 0.0000 0.0000 0.0000
Nb1 0.5000 0.0000 0.0000
Te1 0.5000 0.5000 0.5000
Ti1 0.0000 0.0000 0.5000
Ti2 0.0000 0.5000 0.0000
```